# 1
Computed, not measured: a geometry-optimized Mg4AgPd7 structure at the GGA-PBE level of DFT.

Cell: 5.798 5.798 9.528 Å, 116.57 116.57 50.54°
Atoms (fractional coordinates):
Mg: 0.089 0.089 0.273
Mg: 0.249 0.249 0.827
Mg: 0.751 0.751 0.173
Mg: 0.911 0.911 0.727
Ag: 0.500 0.500 0.500
Pd: 0.000 0.000 0.500
Pd: 0.142 0.142 0.027
Pd: 0.287 0.287 0.580
Pd: 0.442 0.442 0.154
Pd: 0.558 0.558 0.846
Pd: 0.713 0.713 0.420
Pd: 0.858 0.858 0.973

Summary:
magnetization	0.0	μB/f.u.
E_form	-6.43	kcal/mol of atoms
SG	C2/m (12)

=====

# 2
Computed, not measured: a geometry-optimized Mg2AgPd8 structure at the GGA-PBE level of DFT.

Cell: 7.323 7.323 7.323 Å, 146.35 123.99 66.95°
Atoms (fractional coordinates):
Mg: 0.199 0.199 0.000
Mg: 0.801 0.801 0.000
Ag: 0.500 0.500 0.000
Pd: 0.061 0.347 0.713
Pd: 0.198 0.000 0.198
Pd: 0.347 0.847 0.500
Pd: 0.366 0.653 0.713
Pd: 0.634 0.347 0.287
Pd: 0.653 0.153 0.500
Pd: 0.802 0.000 0.802
Pd: 0.939 0.653 0.287

Summary:
E above lowest polymorph	0.081	eV per atom
magnetization	0.0	μB/f.u.
E_form	-5.84	kcal/mol of atoms
SG	Immm (71)

=====

# 3
Computed, not measured: a geometry-optimized MgAgPd3 structure at the GGA-PBE level of DFT.

Cell: 5.989 5.989 5.458 Å, 90.00 90.00 104.66°
Atoms (fractional coordinates):
Mg: 0.227 0.773 0.750
Mg: 0.773 0.227 0.250
Ag: 0.500 0.500 0.000
Ag: 0.500 0.500 0.500
Pd: 0.167 0.199 0.750
Pd: 0.199 0.167 0.250
Pd: 0.256 0.744 0.250
Pd: 0.744 0.256 0.750
Pd: 0.801 0.833 0.750
Pd: 0.833 0.801 0.250

Summary:
E above lowest polymorph	0.391	eV per atom
magnetization	0.0	μB/f.u.
E_form	0.68	kcal/mol of atoms
SG	Cmcm (63)

=====

# 4
Computed, not measured: a geometry-optimized MgAg5Pd8 structure at the GGA-PBE level of DFT.

Cell: 6.809 6.809 6.809 Å, 109.88 109.88 108.65°
Atoms (fractional coordinates):
Mg: 0.000 0.000 0.000
Ag: 0.038 0.450 0.810
Ag: 0.250 0.750 0.500
Ag: 0.550 0.359 0.588
Ag: 0.641 0.229 0.190
Ag: 0.771 0.962 0.412
Pd: 0.110 0.308 0.418
Pd: 0.273 0.175 0.775
Pd: 0.308 0.890 0.198
Pd: 0.400 0.498 0.225
Pd: 0.502 0.727 0.902
Pd: 0.692 0.110 0.802
Pd: 0.825 0.600 0.098
Pd: 0.890 0.692 0.582

Summary:
magnetization	0.0	μB/f.u.
E_form	1.20	kcal/mol of atoms
SG	I-4 (82)

=====

# 5
Computed, not measured: a geometry-optimized Mg4Ag3Pd structure at the GGA-PBE level of DFT.

Cell: 3.223 3.223 13.821 Å, 90.00 90.00 90.00°
Atoms (fractional coordinates):
Mg: 0.000 0.000 0.113
Mg: 0.000 0.000 0.371
Mg: 0.000 0.000 0.629
Mg: 0.000 0.000 0.887
Ag: 0.500 0.500 0.243
Ag: 0.500 0.500 0.500
Ag: 0.500 0.500 0.757
Pd: 0.500 0.500 0.000

Summary:
magnetization	0.0	μB/f.u.
E_form	-8.34	kcal/mol of atoms
SG	P4/mmm (123)

=====

# 6
Computed, not measured: a geometry-optimized MgAgPd2 structure at the GGA-PBE level of DFT.

Cell: 9.779 9.779 9.779 Å, 156.94 156.94 32.85°
Atoms (fractional coordinates):
Mg: 0.000 0.000 0.000
Mg: 0.750 0.250 0.500
Ag: 0.250 0.750 0.500
Ag: 0.500 0.500 0.000
Pd: 0.123 0.625 0.998
Pd: 0.375 0.373 0.498
Pd: 0.627 0.125 0.002
Pd: 0.875 0.877 0.502

Summary:
magnetization	0.0	μB/f.u.
E_form	-1.73	kcal/mol of atoms
SG	I-42d (122)